A relaxed Ca2SmUAs4 crystal. Source: Alexandria via LeMat-Bulk, functional GGA-PBE.

Cell and atoms, written as POSCAR:
```
Ca2SmUAs4
1.0
-2.443 0.728 -3.359
-5.640 -3.004 3.451
0.170 7.116 1.420
As Sm Ca U
4 1 2 1
Cartesian
-2.495 1.302 -0.550 As
-4.244 -0.614 2.954 As
-5.418 3.538 2.062 As
-1.226 4.726 1.917 As
-4.041 -1.138 0.046 Sm
-2.735 2.056 2.435 Ca
-1.137 3.922 -0.969 Ca
0.000 0.000 0.000 U
```

Values from the calculation:
Energy   -5.974 eV per atom
Energy of formation   -9.2 eV/f.u.